LiHoSc2Tl4 (GGA-PBE, relaxed); E = -30.79 eV for the cell shown; energy relative to the elements = -0.272 eV per atom; calculated density = 9.36 Mg/m³
1.0
-1.1556 4.9575 0.0747
-4.5564 1.5765 -1.6344
-5.0277 1.3310 7.3713
Ho Tl Sc Li
1 4 2 1
Cartesian
0.0000 0.0000 0.0000
-6.9157 6.2076 1.4812
-4.2380 4.2394 0.0465
-6.5017 3.6256 5.7650
-3.8239 1.6574 4.3303
-2.7123 1.9588 1.5221
-8.0274 5.9062 4.2894
-5.3698 3.9325 2.9057

=====

LiYHoSc (GGA-PBE, relaxed); E = -18.67 eV for the cell shown; energy relative to the elements = 0.155 eV per atom; calculated density = 4.73 Mg/m³
1.0
-4.3604 1.0621 -2.8823
-0.9267 -2.6767 -4.5194
-3.9746 -3.5494 -0.2302
Y Li Ho Sc
1 1 1 1
Cartesian
-6.9462 -3.8730 -5.7240
0.0000 0.0000 0.0000
-2.3154 -1.2910 -1.9080
-4.6308 -2.5820 -3.8160

=====

LiHoSc2Zn4 (GGA-PBE, relaxed); E = -26.45 eV for the cell shown; energy relative to the elements = -0.275 eV per atom; calculated density = 5.68 Mg/m³
1.0
-0.2672 -4.4956 1.3642
2.1080 -3.3573 -2.5352
7.2565 -1.7036 3.9228
Zn Ho Sc Li
4 1 2 1
Cartesian
2.2713 -5.0916 -0.1028
4.3490 -7.5078 0.4575
6.8261 -4.4649 2.8545
4.7484 -2.0487 2.2943
0.0000 0.0000 0.0000
2.3920 -2.3730 0.7643
6.7054 -7.1836 1.9874
4.5487 -4.7783 1.3759

=====

LiHoScZn (GGA-PBE, relaxed); E = -14.53 eV for the cell shown; energy relative to the elements = -0.108 eV per atom; calculated density = 5.50 Mg/m³
1.0
-2.8719 -3.3950 -2.1533
0.0995 -4.6806 1.5789
-3.8703 -1.8675 2.4381
Zn Ho Li Sc
1 1 1 1
Cartesian
0.0000 0.0000 0.0000
-4.9821 -7.4573 1.3977
-3.3214 -4.9716 0.9318
-1.6607 -2.4858 0.4659

=====

Li5HoSe4 (GGA-PBE, relaxed); formation energy from raw total energies = -1.401 eV per atom; E = -42.09 eV for the cell shown; calculated density = 4.01 Mg/m³
1.0
-3.2631 -2.0044 1.4080
4.2681 -3.3484 5.1248
-1.7816 7.9086 1.2174
Li Ho Se
5 1 4
Cartesian
0.5025 -2.6764 3.2664
2.9209 -0.7799 5.6589
0.4328 1.1720 2.6714
-3.6975 3.3357 2.0914
-1.2095 1.3839 5.0788
-1.6316 -1.0022 0.7040
3.1391 -2.4627 3.7692
-2.1686 1.1944 2.5865
1.1290 -0.8857 1.3557
1.3919 1.3614 5.1638

=====

Li3HoSe3 (GGA-PBE, relaxed); formation energy from raw total energies = -1.490 eV per atom; E = -62.40 eV for the cell shown; calculated density = 4.50 Mg/m³
1.0
-6.0098 -3.7171 -1.9179
0.6174 -6.4992 -3.3156
-1.8178 -6.4574 4.2342
Li Se Ho
6 6 2
Cartesian
-5.5304 -9.3507 -2.0624
-1.2409 -8.6881 -1.7096
-5.9693 -7.9855 0.7103
-3.1746 -10.9638 -0.8006
-1.6798 -7.3229 1.0631
-4.0356 -5.7099 -0.1988
-1.7734 -6.2252 -1.3213
-3.2080 -9.6458 -3.0723
-4.0022 -7.0278 2.0729
-5.8186 -6.8243 -1.6408
-5.4369 -10.4484 0.3219
-1.3917 -9.8493 0.6415
-3.6153 -9.8577 2.4796
-3.5950 -6.8159 -3.4790